Entry 1:
Dy2TmIr PBE optimized geometry; N(E_F) = 1.01 states/eV/atom; total magnetization = 0.00 μB/f.u.; energy above the most stable polymorph in this dataset = 0.15 eV per formula unit; E_tot = -6.19 eV per atom
1.0
1.944 -5.986 0.000
1.944 5.986 0.000
0.000 0.000 9.073
Dy Tm Ir
4 2 2
Direct
0.141 0.859 0.566
0.141 0.859 0.934
0.859 0.141 0.066
0.859 0.141 0.434
0.425 0.575 0.750
0.575 0.425 0.250
0.246 0.754 0.250
0.754 0.246 0.750

---

Entry 2:
Dy2TmIr9 PBE optimized geometry; N(E_F) = 0.98 states/eV/atom; total magnetization = 0.00 μB/f.u.; E_tot = -8.37 eV per atom
1.0
2.646 1.528 8.796
-2.646 1.528 8.796
0.000 -3.056 8.796
Dy Tm Ir
2 1 9
Direct
0.139 0.139 0.139
0.861 0.861 0.861
0.000 0.000 0.000
0.083 0.582 0.582
0.333 0.333 0.333
0.418 0.418 0.917
0.418 0.917 0.418
0.500 0.500 0.500
0.582 0.083 0.582
0.582 0.582 0.083
0.667 0.667 0.667
0.917 0.418 0.418

---

Entry 3:
DyTm5Ir6 PBE optimized geometry; N(E_F) = 0.34 states/eV/atom; total magnetization = 0.00 μB/f.u.; E_tot = -7.58 eV per atom
1.0
4.674 0.000 0.000
0.000 7.097 0.000
-2.329 0.000 7.022
Dy Tm Ir
1 5 6
Direct
0.000 0.000 0.000
0.000 0.500 0.000
0.333 0.000 0.666
0.333 0.500 0.666
0.667 0.000 0.334
0.667 0.500 0.334
0.167 0.251 0.335
0.167 0.749 0.335
0.500 0.252 0.000
0.500 0.748 0.000
0.833 0.251 0.665
0.833 0.749 0.665

---

Entry 4:
Dy3Tm2Ir2 PBE optimized geometry; N(E_F) = 0.78 states/eV/atom; total magnetization = 0.00 μB/f.u.; E_tot = -6.43 eV per atom
1.0
5.966 -1.924 0.000
5.966 1.924 0.000
-3.752 0.000 7.857
Dy Tm Ir
3 2 2
Direct
0.000 0.000 0.000
0.118 0.118 0.431
0.882 0.882 0.569
0.332 0.332 0.190
0.668 0.668 0.810
0.321 0.321 0.767
0.679 0.679 0.233

---

Entry 5:
DyTmIr PBE optimized geometry; N(E_F) = 0.95 states/eV/atom; total magnetization = 0.00 μB/f.u.; energy above the most stable polymorph in this dataset = 0.02 eV per formula unit; E_tot = -6.71 eV per atom
1.0
0.000 3.375 3.375
3.375 0.000 3.375
3.375 3.375 0.000
Dy Tm Ir
1 1 1
Direct
0.000 0.000 0.000
0.500 0.500 0.500
0.750 0.750 0.750

---

Entry 6:
DyTm4Ir5 PBE optimized geometry; N(E_F) = 0.23 states/eV/atom; total magnetization = 0.00 μB/f.u.; E_tot = -7.57 eV per atom
1.0
3.313 0.000 0.000
0.000 3.313 0.000
0.000 0.000 17.706
Dy Tm Ir
1 4 5
Direct
0.000 0.000 0.000
0.000 0.000 0.202
0.000 0.000 0.401
0.000 0.000 0.599
0.000 0.000 0.798
0.500 0.500 0.103
0.500 0.500 0.301
0.500 0.500 0.500
0.500 0.500 0.699
0.500 0.500 0.897

---

Entry 7:
DyTm3Ir PBE optimized geometry; N(E_F) = 1.17 states/eV/atom; total magnetization = 0.61 μB/f.u.; energy above the most stable polymorph in this dataset = 0.00 eV per formula unit; E_tot = -5.80 eV per atom
1.0
5.803 -4.248 0.000
5.803 4.248 0.000
-5.329 0.000 5.829
Dy Tm Ir
2 6 2
Direct
0.053 0.053 0.340
0.947 0.947 0.660
0.061 0.453 0.214
0.443 0.443 0.739
0.453 0.061 0.214
0.547 0.939 0.786
0.557 0.557 0.261
0.939 0.547 0.786
0.253 0.253 0.883
0.747 0.747 0.117

---

Entry 8:
DyTm2Ir3 PBE optimized geometry; N(E_F) = 0.43 states/eV/atom; total magnetization = 0.00 μB/f.u.; E_tot = -7.57 eV per atom
1.0
4.804 0.000 0.000
-2.402 4.161 0.000
0.000 0.000 5.884
Dy Tm Ir
1 2 3
Direct
0.000 0.000 0.000
0.333 0.667 0.666
0.667 0.333 0.334
0.000 0.000 0.500
0.333 0.667 0.169
0.667 0.333 0.831

---

Entry 9:
DyTmIr PBE optimized geometry; N(E_F) = 0.74 states/eV/atom; total magnetization = 0.00 μB/f.u.; energy above the most stable polymorph in this dataset = 0.00 eV per formula unit; E_tot = -6.72 eV per atom
1.0
3.375 -3.374 0.000
3.375 3.374 0.000
-0.011 0.000 6.741
Dy Tm Ir
2 2 2
Direct
0.001 0.999 0.750
0.999 0.001 0.250
0.500 0.500 0.250
0.500 0.500 0.750
0.000 0.500 0.000
0.500 0.000 0.500

---

Entry 10:
DyTm3Ir PBE optimized geometry; N(E_F) = 1.20 states/eV/atom; total magnetization = 0.00 μB/f.u.; energy above the most stable polymorph in this dataset = 0.66 eV per formula unit; E_tot = -5.66 eV per atom
1.0
8.556 -1.883 0.000
8.556 1.883 0.000
-2.384 0.000 8.898
Dy Tm Ir
2 6 2
Direct
0.191 0.191 0.300
0.809 0.809 0.700
0.181 0.181 0.877
0.400 0.400 0.455
0.498 0.498 0.819
0.502 0.502 0.181
0.600 0.600 0.545
0.819 0.819 0.123
0.360 0.360 0.934
0.640 0.640 0.066

---

Entry 11:
Dy2TmIr2 PBE optimized geometry; N(E_F) = 0.71 states/eV/atom; total magnetization = 0.00 μB/f.u.; energy above the most stable polymorph in this dataset = 0.00 eV per formula unit; E_tot = -7.04 eV per atom
1.0
5.289 -2.792 0.000
5.289 2.792 0.000
-2.567 0.000 7.777
Dy Tm Ir
4 2 4
Direct
0.006 0.698 0.849
0.302 0.994 0.651
0.698 0.006 0.349
0.994 0.302 0.151
0.352 0.648 0.250
0.648 0.352 0.750
0.208 0.512 0.493
0.488 0.792 0.007
0.512 0.208 0.993
0.792 0.488 0.507

---

Entry 12:
DyTm2Ir4 PBE optimized geometry; N(E_F) = 0.95 states/eV/atom; total magnetization = 0.00 μB/f.u.; E_tot = -7.29 eV per atom
1.0
-3.308 3.308 3.272
3.308 -3.308 3.272
3.308 3.308 -3.272
Dy Tm Ir
1 2 4
Direct
0.000 0.000 0.000
0.000 0.500 0.500
0.500 0.000 0.500
0.000 0.000 0.500
0.000 0.500 0.000
0.500 0.000 0.000
0.500 0.500 0.500

---

| no. | E_form (meV per atom) |
| --- | --- |
| 1 | -556.2 |
| 2 | -580.1 |
| 3 | -901.0 |
| 4 | -645.2 |
| 5 | -732.1 |
| 6 | -891.7 |
| 7 | -419.7 |
| 8 | -881.8 |
| 9 | -738.0 |
| 10 | -288.0 |
| 11 | -760.0 |
| 12 | -291.0 |